[1]
Crystalline SrCeEuNbO6 at its relaxed geometry, computed with PBE.

Unit cell a=5.8989 b=5.8989 c=8.6585 alpha=90.00 beta=90.00 gamma=90.00
Space group P-4n2 (No. 118)
Inequivalent atoms, fractional coordinates:
Sr 0.0000 0.5000 0.2500 [2 per cell]
Ce 0.0000 0.0000 0.5000 [2 per cell]
Eu 0.0000 0.5000 0.7500 [2 per cell]
Nb 0.0000 0.0000 0.0000 [2 per cell]
O 0.0000 0.0000 0.2374 [4 per cell]
O 0.1618 0.3058 0.9975 [8 per cell]

Summary:
energy relative to the lowest polymorph listed for this composition	47	meV/atom
M_tot	16.0	μB/cell
E_form (uncorrected)	-2927.9	meV/atom

***

[2]
Crystalline GdMgInAu at its relaxed geometry, computed with PBE.

Unit cell a=7.1484 b=7.1484 c=7.1484 alpha=90.00 beta=90.00 gamma=90.00
Space group F-43m (No. 216)
Inequivalent atoms, fractional coordinates:
Gd 0.0000 0.0000 0.0000 [4 per cell]
Mg 0.0000 0.0000 0.5000 [4 per cell]
In 0.2500 0.2500 0.7500 [4 per cell]
Au 0.2500 0.2500 0.2500 [4 per cell]

Summary:
M_tot	28.3	μB/cell
calculated total energy	-95.5	eV/cell